Record 1
Computed, not measured: a relaxed structure of LiSmAs2 at the GGA-PBE level of DFT.

Cell: 3.9451 3.9451 10.6089 Å, 90.00 90.00 90.00°
Sites, in units of the cell vectors:
Li 0.5000 0.5000 0.0000
Li 0.0000 0.0000 0.0000
Sm 0.0000 0.5000 0.2717
Sm 0.5000 0.0000 0.7283
As 0.5000 0.0000 0.1613
As 0.0000 0.5000 0.8387
As 0.0000 0.0000 0.5000
As 0.5000 0.5000 0.5000

Properties
E = -4.9886 eV/atom
space group = P4/nmm, No. 129
total magnetic moment = 0.000 μB/atom
formation enthalpy at 0 K = -1.006 eV per atom

---

Record 2
Computed, not measured: a relaxed structure of LiSmAs at the GGA-PBE level of DFT.

Cell: 4.3530 4.1742 7.9914 Å, 105.14 90.00 90.00°
Sites, in units of the cell vectors:
Li 0.9989 0.0000 0.9999
Li 0.4989 0.0000 0.0001
Sm 0.2486 0.3367 0.6734
Sm 0.7486 0.6633 0.3266
As 0.2486 0.1485 0.2969
As 0.7486 0.8515 0.7031

Properties
E = -4.5809 eV/atom
space group = Cmcm, No. 63
distance to the lowest polymorph of the same formula = 205.7 meV per atom
total magnetic moment = 0.000 μB/atom
formation enthalpy at 0 K = -0.820 eV per atom

---

Record 3
Computed, not measured: a relaxed structure of LiSm2As at the GGA-PBE level of DFT.

Cell: 3.9777 4.8869 4.8869 Å, 90.00 90.00 90.00°
Sites, in units of the cell vectors:
As 0.5000 0.0000 0.0000
Sm 0.0000 0.0000 0.5000
Sm 0.0000 0.5000 0.0000
Li 0.5000 0.5000 0.5000

Properties
E = -4.5959 eV/atom
space group = P4/mmm, No. 123
distance to the lowest polymorph of the same formula = 0.0 meV per atom
total magnetic moment = 0.000 μB/atom
formation enthalpy at 0 K = -0.595 eV per atom

---

Record 4
Computed, not measured: a relaxed structure of LiSmAs at the GGA-PBE level of DFT.

Cell: 4.0438 4.2066 4.2066 Å, 120.00 90.00 90.00°
Sites, in units of the cell vectors:
As 0.1664 0.0000 0.0000
Sm 0.6667 0.3333 0.6667
Li 0.1669 0.6667 0.3333

Properties
E = -4.7511 eV/atom
space group = P-6m2, No. 187
distance to the lowest polymorph of the same formula = 35.5 meV per atom
total magnetic moment = 0.257 μB/atom
formation enthalpy at 0 K = -0.990 eV per atom

---

Question: Which formula does entry 4 have?
Answer: LiSmAs

---

What did the second record say?
Computed, not measured: a relaxed structure of LiSmAs at the GGA-PBE level of DFT.

Cell: 4.3530 4.1742 7.9914 Å, 105.14 90.00 90.00°
Sites, in units of the cell vectors:
Li 0.9989 0.0000 0.9999
Li 0.4989 0.0000 0.0001
Sm 0.2486 0.3367 0.6734
Sm 0.7486 0.6633 0.3266
As 0.2486 0.1485 0.2969
As 0.7486 0.8515 0.7031

Properties
E = -4.5809 eV/atom
space group = Cmcm, No. 63
distance to the lowest polymorph of the same formula = 205.7 meV per atom
total magnetic moment = 0.000 μB/atom
formation enthalpy at 0 K = -0.820 eV per atom